[1]
Below is LaHo2Fe after structural relaxation, with properties calculated at the PBE level.

Structure (CIF):
```
data_LaHo2Fe
_chemical_formula_sum 'La1 Ho2 Fe1'
_symmetry_space_group_name_H-M 'P 1'
_symmetry_Int_Tables_number 1
_cell_length_a 3.3618
_cell_length_b 3.3618
_cell_length_c 9.2778
_cell_angle_alpha 90.00
_cell_angle_beta 90.00
_cell_angle_gamma 90.00
loop_
_symmetry_equiv_pos_as_xyz
'x,y,z'
loop_
_atom_site_label
_atom_site_type_symbol
_atom_site_fract_x
_atom_site_fract_y
_atom_site_fract_z
La1 La 0.0000 0.0000 0.0000
Ho1 Ho 0.5000 0.5000 0.3285
Ho2 Ho 0.5000 0.5000 0.6715
Fe1 Fe 0.0000 0.0000 0.5000
```

Values from the calculation:
symmetry = P4/mmm (123)
polymorph energy (0 for the lowest one) = 0.0000 eV per atom
E = -5.57 eV per atom

---

[2]
Below is Al2Ag2Te after structural relaxation, with properties calculated at the PBE level.

Structure (CIF):
```
data_Al2Ag2Te
_chemical_formula_sum 'Al2 Ag2 Te1'
_symmetry_space_group_name_H-M 'P 1'
_symmetry_Int_Tables_number 1
_cell_length_a 6.8721
_cell_length_b 6.8721
_cell_length_c 6.8721
_cell_angle_alpha 145.29
_cell_angle_beta 145.29
_cell_angle_gamma 49.90
loop_
_symmetry_equiv_pos_as_xyz
'x,y,z'
loop_
_atom_site_label
_atom_site_type_symbol
_atom_site_fract_x
_atom_site_fract_y
_atom_site_fract_z
Al1 Al 0.2500 0.7500 0.5000
Al2 Al 0.7500 0.2500 0.5000
Ag1 Ag 0.1124 0.1124 0.0000
Ag2 Ag 0.8876 0.8876 0.0000
Te1 Te 0.5000 0.5000 0.0000
```

Values from the calculation:
symmetry = I4/mmm (139)
polymorph energy (0 for the lowest one) = 0.0000 eV per atom
E = -3.19 eV per atom